(1)
A plane-wave DFT calculation with GGA-PBE was carried out for an optimized crystal structure of YMn2Te.

Unit cell a=7.9983 b=7.9983 c=6.3785 alpha=51.17 beta=51.17 gamma=90.00
Last column: nearest neighbours and their distance in Å.
Atoms (fractional coordinates):
Y  0.2500  0.7500  0.5000  2 Te 2.95, 4 Mn 3.15
Y  0.5000  0.5000  0.0000  2 Te 2.95, 4 Mn 3.15
Te  0.7500  0.2500  0.5000  4 Mn 2.72, 2 Y 2.95
Te  0.0000  0.0000  0.0000  4 Mn 2.72, 2 Y 2.95
Mn  0.6646  0.1250  0.2500  2 Te 2.72, 2 Mn 3.02
Mn  0.8750  0.9146  0.7500  2 Te 2.72, 2 Mn 3.02
Mn  0.3750  0.3354  0.7500  2 Te 2.72, 2 Mn 3.02
Mn  0.0854  0.6250  0.2500  2 Te 2.72, 2 Mn 3.02

- raw formation energy (eV/atom) = 0.20
- total DFT energy (no corrections) (eV/f.u.) = -27.1

=====

(2)
A plane-wave DFT calculation with GGA-PBE was carried out for an optimized crystal structure of Er5CdGa2.

Unit cell a=7.5582 b=7.5582 c=9.0437 alpha=114.70 beta=114.70 gamma=90.00
Last column: nearest neighbours and their distance in Å.
Atoms (fractional coordinates):
Ga  0.3771  0.8771  0.0000  1 Ga 2.63
Ga  0.6229  0.1229  0.0000  1 Ga 2.63
Ga  0.1229  0.3771  0.0000  1 Ga 2.63
Ga  0.8771  0.6229  0.0000  1 Ga 2.63
Cd  0.7500  0.7500  0.5000  8 Er 3.21
Cd  0.2500  0.2500  0.5000  8 Er 3.21
Er  0.8132  0.9749  0.2881  3 Ga 3.06-3.07, 2 Cd 3.21
Er  0.9749  0.4749  0.2881  3 Ga 3.06-3.07, 2 Cd 3.21
Er  0.4749  0.3132  0.2881  3 Ga 3.06-3.07, 2 Cd 3.21
Er  0.5000  0.5000  0.0000  4 Ga 3.00
Er  0.1868  0.0251  0.7119  3 Ga 3.06-3.07, 2 Cd 3.21
Er  0.0000  0.0000  0.0000  4 Ga 3.00
Er  0.5251  0.6868  0.7119  3 Ga 3.06-3.07, 2 Cd 3.21
Er  0.6868  0.1868  0.7119  3 Ga 3.06-3.07, 2 Cd 3.21
Er  0.0251  0.5251  0.7119  3 Ga 3.06-3.07, 2 Cd 3.21
Er  0.3132  0.8132  0.2881  3 Ga 3.06-3.07, 2 Cd 3.21

- polymorph energy (0 for the lowest one) (eV per atom) = 0.0000
- energy of formation (eV per atom) = -0.402
- total DFT energy (no corrections) (eV/f.u.) = -33.0

=====

(3)
A plane-wave DFT calculation with GGA-PBE was carried out for an optimized crystal structure of SrMn2Zn2.

Unit cell a=7.9295 b=7.9295 c=2.8875 alpha=90.00 beta=90.00 gamma=90.00
Last column: nearest neighbours and their distance in Å.
Atoms (fractional coordinates):
Mn  0.8783  0.6217  0.0000  3 Mn 2.73-2.89, 6 Zn 2.74-2.76
Mn  0.3783  0.8783  0.0000  3 Mn 2.73-2.89, 6 Zn 2.74-2.76
Mn  0.6217  0.1217  0.0000  3 Mn 2.73-2.89, 6 Zn 2.74-2.76
Mn  0.1217  0.3783  0.0000  3 Mn 2.73-2.89, 6 Zn 2.74-2.76
Zn  0.1686  0.6686  0.5000  6 Mn 2.74-2.76, 2 Zn 2.89
Zn  0.8314  0.3314  0.5000  6 Mn 2.74-2.76, 2 Zn 2.89
Zn  0.3314  0.1686  0.5000  6 Mn 2.74-2.76, 2 Zn 2.89
Zn  0.6686  0.8314  0.5000  6 Mn 2.74-2.76, 2 Zn 2.89
Sr  0.5000  0.5000  0.0000  2 Sr 2.89, 4 Mn 3.15
Sr  0.0000  0.0000  0.0000  2 Sr 2.89, 4 Mn 3.15

- polymorph energy (0 for the lowest one) (eV per atom) = 0.0000
- energy of formation (eV per atom) = 0.238
- total DFT energy (no corrections) (eV/f.u.) = -21.4

=====

(4)
A plane-wave DFT calculation with GGA-PBE was carried out for an optimized crystal structure of DyYTmLu.

Unit cell a=5.6139 b=5.6139 c=5.6139 alpha=60.00 beta=60.00 gamma=60.00
Last column: nearest neighbours and their distance in Å.
Atoms (fractional coordinates):
Tm  0.0000  0.0000  0.0000  4 Y 3.44, 4 Dy 3.44
Dy  0.2500  0.2500  0.2500  4 Tm 3.44, 4 Lu 3.44
Lu  0.5000  0.5000  0.5000  4 Y 3.44, 4 Dy 3.44
Y  0.7500  0.7500  0.7500  4 Lu 3.44, 4 Tm 3.44

- energy of formation (eV per atom) = 0.128
- total DFT energy (no corrections) (eV/f.u.) = -19.5

=====

(5)
A plane-wave DFT calculation with GGA-PBE was carried out for an optimized crystal structure of KAuBr2.

Unit cell a=7.5792 b=7.5792 c=7.5792 alpha=33.93 beta=33.93 gamma=33.93
Last column: nearest neighbours and their distance in Å.
Atoms (fractional coordinates):
K  0.4986  0.4986  0.4986  6 Br 3.30-3.32, 1 Au 3.66
Br  0.2645  0.2645  0.2645  3 Au 2.98, 3 K 3.32
Br  0.0675  0.0675  0.0675  3 Au 2.91
Au  0.6694  0.6694  0.6694  6 Br 2.91-2.98

- raw formation energy (eV/atom) = -0.70
- polymorph energy (0 for the lowest one) (eV per atom) = 0.2253
- total DFT energy (no corrections) (eV/f.u.) = -10.5

=====

(6)
A plane-wave DFT calculation with GGA-PBE was carried out for an optimized crystal structure of ThUCu.

Unit cell a=3.9810 b=5.5537 c=6.3589 alpha=103.35 beta=90.00 gamma=90.00
Last column: nearest neighbours and their distance in Å.
Atoms (fractional coordinates):
U  0.2500  0.0383  0.1292  2 U 2.55
U  0.7500  0.9617  0.8708  2 U 2.55
Cu  0.7500  0.1201  0.4667  2 Cu 2.49
Cu  0.2500  0.8799  0.5333  2 Cu 2.49
Th  0.7500  0.5579  0.2445  4 Cu 3.00-3.12
Th  0.2500  0.4421  0.7555  4 Cu 3.00-3.12

- energy of formation (eV per atom) = 0.053
- total DFT energy (no corrections) (eV/f.u.) = -22.6